LaSe2 after structural relaxation, computed with PBE.

As for the uncorrected energy: -16.3 eV/f.u. Its symmetry is No. 139. As for the total magnetic moment: 0.000 μB/cell. Its formation energy without anion corrections is -4.4 eV per formula unit.

Cell: 5.5727 5.5727 5.5727 Å, 137.67 137.67 61.41°
Closest atoms and distances in Å follow each position.
Atoms (fractional coordinates):
Se 0.8550 0.8550 0.0000  1 Se 2.78
La 0.5000 0.5000 0.0000  10 Se 3.17-3.40
Se 0.1450 0.1450 0.0000  1 Se 2.78